1.
A plane-wave DFT calculation with GGA-PBE was carried out for a relaxed NaSr2PtN crystal.

Unit cell a=5.5483 b=5.5483 c=3.9658 alpha=90.00 beta=90.00 gamma=90.00
Atoms (fractional coordinates):
Na (0.0000, 0.0000, 0.0000)
Sr (0.0000, 0.5000, 0.5000)
Sr (0.5000, 0.0000, 0.5000)
Pt (0.5000, 0.5000, 0.0000)
N (0.5000, 0.5000, 0.5000)

Properties
DOS(E_F): 3.19 states/eV/cell
SG: P4/mmm (123)
energy relative to the elements, uncorrected: -0.3144 eV per atom

=====

2.
A plane-wave DFT calculation with GGA-PBE was carried out for a relaxed U2RePt crystal.

Unit cell a=2.9930 b=2.9930 c=8.4543 alpha=90.00 beta=90.00 gamma=90.00
Atoms (fractional coordinates):
U (0.0000, 0.0000, 0.2379)
U (0.0000, 0.0000, 0.7621)
Re (0.5000, 0.5000, 0.0000)
Pt (0.5000, 0.5000, 0.5000)

Properties
DOS(E_F): 7.16 states/eV/cell
SG: P4/mmm (123)
energy relative to the lowest polymorph listed for this composition: 0 meV/atom

=====

Q: Among the records above, which one has the highest DOS(E_F)?
A: U2RePt

=====

Q: DOS(E_F) of number 2 (U2RePt)?
A: 7.16 states/eV/cell